Entry 1:
This record from Alexandria describes a geometry-optimized Tc2HgSe structure. The functional is PBE.

Unit cell a=3.010 b=5.071 c=8.995 alpha=90.00 beta=90.00 gamma=90.00
Atoms (fractional coordinates):
Tc  0.000  0.000  0.216
Tc  0.000  0.000  0.784
Tc  0.500  0.500  0.284
Tc  0.500  0.500  0.716
Hg  0.000  0.500  0.000
Hg  0.500  0.000  0.500
Se  0.000  0.500  0.500
Se  0.500  0.000  0.000

**Total magnetization**: 0.000 μB/atom
**Polymorph energy (0 for the lowest one)**: 1.87 eV/f.u.
**ΔE_f (raw)**: 0.6300 eV per atom



Entry 2:
This record from Alexandria describes a geometry-optimized CaRe2As structure. The functional is PBE.

Unit cell a=4.253 b=4.253 c=16.136 alpha=90.00 beta=90.00 gamma=120.00
Atoms (fractional coordinates):
Ca  0.000  0.000  0.000
Ca  0.333  0.667  0.667
Ca  0.667  0.333  0.333
Re  0.000  0.000  0.203
Re  0.000  0.000  0.506
Re  0.333  0.667  0.172
Re  0.333  0.667  0.869
Re  0.667  0.333  0.536
Re  0.667  0.333  0.839
As  0.000  0.000  0.786
As  0.333  0.667  0.452
As  0.667  0.333  0.119

**ΔE_f**: 7 kJ/mol of formula units
**Total magnetization**: 0.000 μB/atom



Entry 3:
This record from Alexandria describes a geometry-optimized Mn2FeSbC structure. The functional is PBE.

Unit cell a=3.872 b=3.872 c=3.902 alpha=90.00 beta=90.00 gamma=90.00
Atoms (fractional coordinates):
Mn  0.000  0.500  0.000
Mn  0.500  0.000  0.000
Fe  0.000  0.000  0.500
Sb  0.500  0.500  0.500
C  0.000  0.000  0.000

**Total magnetization**: 0.247 μB/atom
**ΔE_f (raw)**: 0.0778 eV per atom



Entry 4:
This record from Alexandria describes a geometry-optimized TbPmPr2Er4 structure. The functional is PBE.

Unit cell a=5.086 b=5.114 c=9.996 alpha=90.00 beta=90.00 gamma=90.00
Atoms (fractional coordinates):
Tb  0.000  0.000  0.000
Pm  0.500  0.500  0.500
Pr  0.000  0.000  0.500
Pr  0.500  0.500  0.000
Er  0.000  0.500  0.249
Er  0.000  0.500  0.751
Er  0.500  0.000  0.249
Er  0.500  0.000  0.751

**ΔE_f**: 17 kJ/mol of formula units
**Total magnetization**: 0.000 μB/atom



Entry 5:
This record from Alexandria describes a geometry-optimized NbCl structure. The functional is PBE.

Unit cell a=9.674 b=9.674 c=3.033 alpha=90.00 beta=90.00 gamma=120.00
Atoms (fractional coordinates):
Nb  0.152  0.634  0.250
Nb  0.366  0.518  0.250
Nb  0.482  0.848  0.250
Nb  0.518  0.152  0.750
Nb  0.634  0.482  0.750
Nb  0.848  0.366  0.750
Cl  0.051  0.334  0.250
Cl  0.283  0.949  0.250
Cl  0.334  0.283  0.750
Cl  0.666  0.717  0.250
Cl  0.717  0.051  0.750
Cl  0.949  0.666  0.750

**Total magnetization**: 0.000 μB/atom
**ΔE_f (raw)**: -0.3838 eV per atom



Entry 6:
This record from Alexandria describes a geometry-optimized LiSi3Sb structure. The functional is PBE.

Unit cell a=4.545 b=4.545 c=4.545 alpha=90.00 beta=90.00 gamma=90.00
Atoms (fractional coordinates):
Li  0.000  0.000  0.000
Si  0.000  0.000  0.500
Si  0.000  0.500  0.000
Si  0.500  0.000  0.000
Sb  0.500  0.500  0.500

**Total magnetization**: 0.000 μB/atom
**Polymorph energy (0 for the lowest one)**: 0.00 eV/f.u.
**ΔE_f (raw)**: 0.7759 eV per atom



Entry 7:
This record from Alexandria describes a geometry-optimized Hf2In2Te structure. The functional is PBE.

Unit cell a=7.417 b=7.417 c=4.428 alpha=90.00 beta=90.00 gamma=90.00
Atoms (fractional coordinates):
Hf  0.146  0.354  0.000
Hf  0.354  0.854  0.000
Hf  0.646  0.146  0.000
Hf  0.854  0.646  0.000
In  0.155  0.655  0.500
In  0.345  0.155  0.500
In  0.655  0.845  0.500
In  0.845  0.345  0.500
Te  0.000  0.000  0.000
Te  0.500  0.500  0.000

**Total magnetization**: 0.000 μB/atom
**ΔE_f (raw)**: -0.1769 eV per atom



Entry 8:
This record from Alexandria describes a geometry-optimized Li8CrS6 structure. The functional is PBE.

Unit cell a=6.860 b=6.860 c=13.322 alpha=90.00 beta=90.00 gamma=120.00
Atoms (fractional coordinates):
Li  0.000  0.317  0.000
Li  0.000  0.373  0.365
Li  0.000  0.627  0.865
Li  0.000  0.683  0.500
Li  0.317  0.000  0.000
Li  0.317  0.317  0.500
Li  0.333  0.667  0.138
Li  0.333  0.667  0.638
Li  0.373  0.000  0.365
Li  0.373  0.373  0.865
Li  0.627  0.000  0.865
Li  0.627  0.627  0.365
Li  0.667  0.333  0.138
Li  0.667  0.333  0.638
Li  0.683  0.000  0.500
Li  0.683  0.683  0.000
Cr  0.000  0.000  0.234
Cr  0.000  0.000  0.734
S  0.000  0.000  0.402
S  0.000  0.000  0.902
S  0.000  0.304  0.185
S  0.000  0.696  0.685
S  0.304  0.000  0.185
S  0.304  0.304  0.685
S  0.333  0.667  0.452
S  0.333  0.667  0.952
S  0.667  0.333  0.452
S  0.667  0.333  0.952
S  0.696  0.000  0.685
S  0.696  0.696  0.185

**Total magnetization**: 0.133 μB/atom
**ΔE_f (raw)**: -1.1499 eV per atom



Entry 9:
This record from Alexandria describes a geometry-optimized LaSm2Th structure. The functional is PBE.

Unit cell a=3.640 b=3.640 c=23.773 alpha=90.00 beta=90.00 gamma=120.00
Atoms (fractional coordinates):
La  0.333  0.667  0.250
La  0.667  0.333  0.750
Sm  0.333  0.667  0.620
Sm  0.333  0.667  0.880
Sm  0.667  0.333  0.120
Sm  0.667  0.333  0.380
Th  0.000  0.000  0.000
Th  0.000  0.000  0.500

**ΔE_f**: 10 kJ/mol of formula units
**Total magnetization**: 0.000 μB/atom
**Polymorph energy (0 for the lowest one)**: 0.01 eV/f.u.



Entry 10:
This record from Alexandria describes a geometry-optimized Ac3Tl3GaO8 structure. The functional is PBE.

Unit cell a=7.445 b=7.445 c=7.581 alpha=119.44 beta=119.44 gamma=60.02
Atoms (fractional coordinates):
Ac  0.000  0.000  0.000
Ac  0.000  0.500  0.000
Ac  0.500  0.000  0.000
Tl  0.000  0.500  0.500
Tl  0.500  0.000  0.500
Tl  0.500  0.500  0.500
Ga  0.500  0.500  0.000
O  0.230  0.230  0.190
O  0.273  0.702  0.177
O  0.298  0.727  0.823
O  0.299  0.299  0.824
O  0.701  0.701  0.176
O  0.702  0.273  0.177
O  0.727  0.298  0.823
O  0.770  0.770  0.810

**Total magnetization**: 0.013 μB/atom
**ΔE_f (raw)**: -1.9129 eV per atom



Entry 11:
This record from Alexandria describes a geometry-optimized Ba2LaInN structure. The functional is PBE.

Unit cell a=5.878 b=5.878 c=4.834 alpha=90.00 beta=90.00 gamma=90.00
Atoms (fractional coordinates):
Ba  0.000  0.500  0.000
Ba  0.500  0.000  0.000
La  0.000  0.000  0.500
In  0.500  0.500  0.500
N  0.000  0.000  0.000

**Total magnetization**: 0.000 μB/atom
**ΔE_f (raw)**: -0.5434 eV per atom



Entry 12:
This record from Alexandria describes a geometry-optimized Sb3Pt structure. The functional is PBE.

Unit cell a=5.098 b=5.098 c=3.589 alpha=90.00 beta=90.00 gamma=90.00
Atoms (fractional coordinates):
Sb  0.000  0.000  0.000
Sb  0.000  0.500  0.500
Sb  0.500  0.000  0.500
Pt  0.500  0.500  0.000

**Total magnetization**: 0.000 μB/atom
**Polymorph energy (0 for the lowest one)**: 1.65 eV/f.u.
**ΔE_f (raw)**: 0.2118 eV per atom



Entry 13:
This record from Alexandria describes a geometry-optimized Dy3Er4Cu4 structure. The functional is PBE.

Unit cell a=8.664 b=8.664 c=8.664 alpha=147.87 beta=130.18 gamma=60.53
Atoms (fractional coordinates):
Dy  0.000  0.000  0.000
Dy  0.396  0.896  0.500
Dy  0.604  0.104  0.500
Er  0.047  0.328  0.719
Er  0.392  0.672  0.719
Er  0.608  0.328  0.281
Er  0.953  0.672  0.281
Cu  0.202  0.202  0.000
Cu  0.332  0.500  0.832
Cu  0.668  0.500  0.168
Cu  0.798  0.798  0.000

**ΔE_f**: -99 kJ/mol of formula units
**Total magnetization**: 0.000 μB/atom



Entry 14:
This record from Alexandria describes a geometry-optimized TaNbSiAg2 structure. The functional is PBE.

Unit cell a=5.125 b=5.125 c=4.810 alpha=90.00 beta=90.00 gamma=90.00
Atoms (fractional coordinates):
Ta  0.000  0.000  0.000
Nb  0.000  0.000  0.500
Si  0.500  0.500  0.500
Ag  0.000  0.500  0.000
Ag  0.500  0.000  0.000

**Total magnetization**: 0.000 μB/atom
**ΔE_f (raw)**: 1.6442 eV per atom



Entry 15:
This record from Alexandria describes a geometry-optimized PuSI structure. The functional is PBE.

Unit cell a=9.222 b=8.848 c=7.618 alpha=67.64 beta=62.54 gamma=49.82
Atoms (fractional coordinates):
Pu  0.113  0.637  0.637
Pu  0.363  0.887  0.887
Pu  0.637  0.113  0.113
Pu  0.887  0.363  0.363
S  0.000  0.000  0.000
S  0.000  0.000  0.500
S  0.000  0.500  0.000
S  0.500  0.000  0.000
I  0.237  0.237  0.513
I  0.487  0.487  0.763
I  0.513  0.513  0.237
I  0.763  0.763  0.487

**Total magnetization**: 1.667 μB/atom
**Polymorph energy (0 for the lowest one)**: 1.29 eV/f.u.
**ΔE_f (raw)**: -1.0259 eV per atom



Entry 16:
This record from Alexandria describes a geometry-optimized NdLuPu structure. The functional is PBE.

Unit cell a=5.621 b=5.621 c=3.321 alpha=90.00 beta=90.00 gamma=120.00
Atoms (fractional coordinates):
Nd  0.000  0.000  0.000
Lu  0.333  0.667  0.503
Pu  0.667  0.333  0.497

**ΔE_f**: 56 kJ/mol of formula units
**Total magnetization**: 2.033 μB/atom
**Polymorph energy (0 for the lowest one)**: 0.22 eV/f.u.



Entry 17:
This record from Alexandria describes a geometry-optimized NaUTe3 structure. The functional is PBE.

Unit cell a=5.873 b=5.873 c=5.873 alpha=90.00 beta=90.00 gamma=90.00
Atoms (fractional coordinates):
Na  0.000  0.000  0.000
U  0.500  0.500  0.500
Te  0.000  0.500  0.500
Te  0.500  0.000  0.500
Te  0.500  0.500  0.000

**Total magnetization**: 0.214 μB/atom
**Polymorph energy (0 for the lowest one)**: 0.84 eV/f.u.
**ΔE_f (raw)**: -0.5169 eV per atom



Entry 18:
This record from Alexandria describes a geometry-optimized CoBH3 structure. The functional is PBE.

Unit cell a=3.130 b=3.130 c=3.130 alpha=90.00 beta=90.00 gamma=90.00
Atoms (fractional coordinates):
Co  0.000  0.000  0.000
B  0.500  0.500  0.500
H  0.000  0.000  0.500
H  0.000  0.500  0.000
H  0.500  0.000  0.000

**Total magnetization**: 0.000 μB/atom
**Polymorph energy (0 for the lowest one)**: 0.37 eV/f.u.



Entry 19:
This record from Alexandria describes a geometry-optimized ThNp2In9 structure. The functional is PBE.

Unit cell a=4.671 b=4.671 c=14.067 alpha=90.00 beta=90.00 gamma=90.00
Atoms (fractional coordinates):
Th  0.000  0.000  0.000
Np  0.000  0.000  0.335
Np  0.000  0.000  0.665
In  0.000  0.500  0.173
In  0.000  0.500  0.500
In  0.000  0.500  0.827
In  0.500  0.000  0.173
In  0.500  0.000  0.500
In  0.500  0.000  0.827
In  0.500  0.500  0.000
In  0.500  0.500  0.336
In  0.500  0.500  0.664

**ΔE_f**: -138 kJ/mol of formula units
**Total magnetization**: 0.708 μB/atom



Entry 20:
This record from Alexandria describes a geometry-optimized SrZnIn4 structure. The functional is PBE.

Unit cell a=4.002 b=3.996 c=10.173 alpha=90.00 beta=90.10 gamma=90.00
Atoms (fractional coordinates):
Sr  0.000  0.000  0.000
Zn  0.500  0.500  0.500
In  0.001  0.000  0.646
In  0.499  0.500  0.216
In  0.501  0.500  0.784
In  0.999  0.000  0.354

**ΔE_f**: -81 kJ/mol of formula units
**Total magnetization**: 0.000 μB/atom



Entry 21:
This record from Alexandria describes a geometry-optimized SrCu2Sb structure. The functional is PBE.

Unit cell a=3.433 b=3.433 c=7.376 alpha=90.00 beta=90.00 gamma=90.00
Atoms (fractional coordinates):
Sr  0.000  0.000  0.000
Cu  0.000  0.000  0.428
Cu  0.500  0.500  0.296
Sb  0.500  0.500  0.658

**Total magnetization**: 0.000 μB/atom
**ΔE_f (raw)**: -0.0044 eV per atom



Entry 22:
This record from Alexandria describes a geometry-optimized La2SnSe2 structure. The functional is PBE.

Unit cell a=8.534 b=8.534 c=3.799 alpha=90.00 beta=90.00 gamma=90.00
Atoms (fractional coordinates):
La  0.164  0.336  0.000
La  0.336  0.836  0.000
La  0.664  0.164  0.000
La  0.836  0.664  0.000
Sn  0.000  0.000  0.500
Sn  0.500  0.500  0.500
Se  0.136  0.636  0.500
Se  0.364  0.136  0.500
Se  0.636  0.864  0.500
Se  0.864  0.364  0.500

**Total magnetization**: 0.000 μB/atom
**Polymorph energy (0 for the lowest one)**: 0.00 eV/f.u.
**ΔE_f (raw)**: -1.3176 eV per atom



Entry 23:
This record from Alexandria describes a geometry-optimized Pm2SmTh2 structure. The functional is PBE.

Unit cell a=4.746 b=4.746 c=15.882 alpha=90.00 beta=90.00 gamma=90.00
Atoms (fractional coordinates):
Pm  0.000  0.000  0.097
Pm  0.000  0.000  0.903
Pm  0.500  0.500  0.403
Pm  0.500  0.500  0.597
Sm  0.000  0.000  0.500
Sm  0.500  0.500  0.000
Th  0.000  0.500  0.250
Th  0.000  0.500  0.750
Th  0.500  0.000  0.250
Th  0.500  0.000  0.750

**ΔE_f**: 187 kJ/mol of formula units
**Total magnetization**: 0.000 μB/atom
**Polymorph energy (0 for the lowest one)**: 1.78 eV/f.u.



Entry 24:
This record from Alexandria describes a geometry-optimized Nd2Ni5B structure. The functional is PBE.

Unit cell a=5.346 b=5.346 c=8.902 alpha=90.00 beta=90.00 gamma=90.00
Atoms (fractional coordinates):
Nd  0.000  0.500  0.000
Nd  0.000  0.500  0.500
Nd  0.500  0.000  0.000
Nd  0.500  0.000  0.500
Ni  0.000  0.000  0.064
Ni  0.246  0.246  0.253
Ni  0.246  0.754  0.253
Ni  0.254  0.254  0.753
Ni  0.254  0.746  0.753
Ni  0.500  0.500  0.564
Ni  0.746  0.254  0.753
Ni  0.746  0.746  0.753
Ni  0.754  0.246  0.253
Ni  0.754  0.754  0.253
B  0.000  0.000  0.826
B  0.500  0.500  0.326

**ΔE_f**: -188 kJ/mol of formula units
**Total magnetization**: 0.000 μB/atom